## MgOs3Rh (meta-GGA SCAN)

Data for MgOs3Rh at its PBEsol-relaxed geometry.

abc: 4.632 4.632 4.632
angles: 90.00 90.00 90.00
Fractional positions:
Mg  0.000  0.000  0.000
Os  0.000  0.500  0.500
Os  0.500  0.000  0.500
Os  0.500  0.500  0.000
Rh  0.500  0.500  0.500

Summary:
Raw total energy   -48.690 eV per atom
Space group   No. 221
Excess energy over the best structure of this formula in the dataset   0.000 eV per atom
Spin magnetization   0.0 μB/cell
DOS(E_F)   4.84 states/eV/cell
Formation energy   2.19 eV per atom